Version P
{
  "formula": "Ca5Pb4",
  "functional": "PBE",
  "state": "optimized geometry",
  "cell": [[-0.838, 8.886, -3.400], [0.436, -7.398, -6.026], [-7.062, -0.586, 0.208]],
  "species": ["Ca", "Ca", "Ca", "Ca", "Pb", "Pb", "Ca", "Pb", "Pb", "Ca", "Pb", "Ca", "Ca", "Ca", "Ca", "Pb", "Pb", "Pb"],
  "frac_coords": [[0.708, 0.000, 0.250], [0.667, 0.333, 0.500], [0.333, 0.667, 0.000], [0.000, 0.708, 0.250], [0.000, 0.000, 0.500], [0.370, 0.370, 0.750], [0.292, 0.292, 0.250], [0.630, 0.630, 0.250], [0.000, 0.630, 0.750], [0.000, 0.292, 0.750], [0.000, 0.000, 0.000], [0.667, 0.333, 0.000], [0.333, 0.667, 0.500], [0.708, 0.708, 0.750], [0.292, 0.000, 0.750], [0.370, 0.000, 0.250], [0.000, 0.370, 0.250], [0.630, 0.000, 0.750]],
  "space_group": "P6_3/mcm (193)",
  "dos_ef_per_ev_cell": 9.53
}


Version Q
{
  "formula": "Ca5Pb4",
  "functional": "PBE",
  "state": "optimized geometry",
  "cell": [[4.842, 0.000, 1.003], [2.159, 5.705, 1.765], [0.327, -0.492, 10.610]],
  "species": ["Pb", "Ca", "Ca", "Pb", "Ca", "Ca", "Pb", "Ca", "Pb"],
  "frac_coords": [[0.634, 0.339, 0.393], [0.245, 0.339, 0.171], [0.000, 0.000, 0.000], [0.550, 0.745, 0.155], [0.755, 0.661, 0.829], [0.085, 0.213, 0.616], [0.366, 0.661, 0.607], [0.915, 0.787, 0.384], [0.450, 0.255, 0.845]],
  "space_group": "C2/m (12)",
  "dos_ef_per_ev_cell": 3.48
}


Which one sits at the bottom of the stability order? version Q does.


Version P
{
  "formula": "CaPb5",
  "functional": "PBE",
  "state": "optimized geometry",
  "cell": [[2.200, -5.387, -3.007], [-1.477, -5.918, 2.388], [-4.172, -3.885, -3.225]],
  "species": ["Pb", "Pb", "Pb", "Pb", "Ca", "Pb"],
  "frac_coords": [[0.626, 0.626, 0.123], [0.626, 0.626, 0.626], [0.123, 0.626, 0.626], [0.626, 0.123, 0.626], [0.000, 0.000, 0.000], [0.250, 0.250, 0.250]],
  "space_group": "F-43m (216)",
  "dos_ef_per_ev_cell": 2.81
}


Version Q
{
  "formula": "CaPb5",
  "functional": "PBE",
  "state": "optimized geometry",
  "cell": [[6.760, -0.079, -0.036], [5.694, 3.643, -0.036], [2.112, 0.604, 7.440]],
  "species": ["Pb", "Pb", "Ca", "Pb", "Pb", "Pb"],
  "frac_coords": [[0.286, 0.286, 0.924], [0.660, 0.660, 0.681], [0.990, 0.990, 0.023], [0.626, 0.626, 0.255], [0.954, 0.954, 0.589], [0.317, 0.317, 0.360]],
  "space_group": "Cm (8)",
  "dos_ef_per_ev_cell": 3.92
}


Which one sits at the bottom of the stability order? version P does.


Version P
{
  "formula": "Ca5Pb2",
  "functional": "PBE",
  "state": "optimized geometry",
  "cell": [[7.790, 0.000, 0.000], [0.000, 7.189, 0.503], [-3.895, -0.598, 8.390]],
  "species": ["Pb", "Ca", "Ca", "Ca", "Pb", "Ca", "Pb", "Ca", "Ca", "Ca", "Pb", "Ca", "Ca", "Ca"],
  "frac_coords": [[0.136, 0.499, 0.774], [0.067, 0.001, 0.823], [0.757, 0.501, 0.823], [0.499, 0.750, 0.000], [0.362, 0.001, 0.226], [0.265, 0.749, 0.532], [0.638, 0.999, 0.774], [0.501, 0.250, 0.000], [0.733, 0.751, 0.468], [0.735, 0.251, 0.468], [0.864, 0.501, 0.226], [0.933, 0.999, 0.177], [0.243, 0.499, 0.177], [0.267, 0.249, 0.532]],
  "space_group": "C2/c (15)",
  "dos_ef_per_ev_cell": 6.21
}


Version Q
{
  "formula": "Ca5Pb2",
  "functional": "PBE",
  "state": "optimized geometry",
  "cell": [[6.535, 0.000, -2.774], [-1.496, 7.400, -3.523], [0.237, -0.052, 9.642]],
  "species": ["Ca", "Ca", "Pb", "Ca", "Ca", "Pb", "Ca", "Ca", "Ca", "Ca", "Pb", "Ca", "Ca", "Pb"],
  "frac_coords": [[0.480, 0.730, 0.459], [0.916, 0.762, 0.833], [0.375, 0.645, 0.751], [0.520, 0.270, 0.541], [0.250, 0.500, 0.000], [0.625, 0.355, 0.249], [0.980, 0.730, 0.459], [0.084, 0.238, 0.167], [0.750, 0.500, 0.000], [0.584, 0.930, 0.167], [0.875, 0.106, 0.751], [0.416, 0.070, 0.833], [0.020, 0.270, 0.541], [0.125, 0.894, 0.249]],
  "space_group": "Ibam (72)",
  "dos_ef_per_ev_cell": 10.79
}


Which one sits at the bottom of the stability order? version Q does.